First-principles (PBE) data for LuZnAgSn after structural relaxation, as listed in Alexandria.

Summary:
**ΔE_f**: -246.6 meV/atom
**D(E_F)**: 0.423 states/eV/atom
**V**: 333.0 Å³ per cell

a b c (Å): 6.931 6.931 6.931
angles (deg): 90.00 90.00 90.00
Space group F-43m (No. 216)
One atom of each set of equivalent atoms:
Lu 0.000 0.000 0.000 x4
Zn 0.250 0.250 0.250 x4
Ag 0.250 0.250 0.750 x4
Sn 0.000 0.000 0.500 x4